1:
Ho2InOs | PBE | optimized geometry

```
data_Ho2InOs
_chemical_formula_sum 'Ho6 In3 Os3'
_cell_length_a 3.4742
_cell_length_b 3.4742
_cell_length_c 27.9712
_cell_angle_alpha 90.00
_cell_angle_beta 90.00
_cell_angle_gamma 120.00
_space_group_name_H-M_alt 'R -3 m'
_space_group_IT_number 166
_space_group_name_Hall '-R 3 2"'
loop_
_atom_site_label
_atom_site_type_symbol
_atom_site_fract_x
_atom_site_fract_y
_atom_site_fract_z
Ho1 Ho 0.0000 0.0000 0.2380
In1 In 0.0000 0.0000 0.0000
Os1 Os 0.0000 0.0000 0.5000
```

## Properties
The value obtained for the density of states at the Fermi level is 0.5259 states/eV per atom.



2:
Ho2InOs | PBE | optimized geometry

```
data_Ho2InOs
_chemical_formula_sum 'Ho8 In4 Os4'
_cell_length_a 7.097
_cell_length_b 7.097
_cell_length_c 7.097
_cell_angle_alpha 90.00
_cell_angle_beta 90.00
_cell_angle_gamma 90.00
_space_group_name_H-M_alt 'F m -3 m'
_space_group_IT_number 225
_space_group_name_Hall '-F 4 2 3'
loop_
_atom_site_label
_atom_site_type_symbol
_atom_site_fract_x
_atom_site_fract_y
_atom_site_fract_z
Ho1 Ho 0.250 0.250 0.250
In1 In 0.000 0.000 0.000
Os1 Os 0.000 0.000 0.500
```

## Properties
The value obtained for the density of states at the Fermi level is 0.6787 states/eV per atom.



Most stable structure, least stable structure: 2, 1.



1:
Ho3InOs | PBE | optimized geometry

```
data_Ho3InOs
_chemical_formula_sum 'Ho12 In4 Os4'
_cell_length_a 12.933
_cell_length_b 5.248
_cell_length_c 8.464
_cell_angle_alpha 90.00
_cell_angle_beta 114.68
_cell_angle_gamma 90.00
_space_group_name_H-M_alt 'C 1 2/m 1'
_space_group_IT_number 12
loop_
_space_group_symop_operation_xyz
'x,y,z'
'-x,-y,-z'
'-x,y,-z'
'x,-y,z'
'x+1/2,y+1/2,z'
'-x+1/2,-y+1/2,-z'
'-x+1/2,y+1/2,-z'
'x+1/2,-y+1/2,z'
loop_
_atom_site_label
_atom_site_type_symbol
_atom_site_fract_x
_atom_site_fract_y
_atom_site_fract_z
Ho1 Ho 0.069 0.000 0.235
Ho2 Ho 0.090 0.500 0.872
Ho3 Ho 0.225 0.000 0.734
In1 In 0.127 0.500 0.503
Os1 Os 0.178 0.000 0.025
```

## Properties
The value obtained for the density of states at the Fermi level is 0.6807 states/eV per atom.



2:
Ho3InOs | PBE | optimized geometry

```
data_Ho3InOs
_chemical_formula_sum 'Ho24 In8 Os8'
_cell_length_a 6.530
_cell_length_b 9.563
_cell_length_c 16.250
_cell_angle_alpha 90.00
_cell_angle_beta 90.00
_cell_angle_gamma 90.00
_space_group_name_H-M_alt 'F m m m'
_space_group_IT_number 69
_space_group_name_Hall '-F 2 2'
loop_
_atom_site_label
_atom_site_type_symbol
_atom_site_fract_x
_atom_site_fract_y
_atom_site_fract_z
Ho1 Ho 0.000 0.000 0.201
Ho2 Ho 0.000 0.191 0.388
In1 In 0.210 0.000 0.000
Os1 Os 0.250 0.250 0.250
```

## Properties
The value obtained for the density of states at the Fermi level is 0.5895 states/eV per atom.



Most stable structure, least stable structure: 2, 1.